An optimized crystal structure of NaAuN3. Source: Alexandria via LeMat-Bulk, functional PBE.

abc: 4.1007 4.1007 4.1007
angles: 90.00 90.00 90.00
Closest atoms and distances in Å follow each position.
Atoms (fractional coordinates):
Na 0.0000 0.0000 0.0000  12 N 2.90
Au 0.5000 0.5000 0.5000  6 N 2.05
N 0.0000 0.5000 0.5000  2 Au 2.05
N 0.5000 0.0000 0.5000  2 Au 2.05
N 0.5000 0.5000 0.0000  2 Au 2.05

Summary:
Formation energy from raw total energies in meV per atom: 2108
Total DFT energy (no corrections) in eV per atom: -3.806
Crystal system: cubic